A relaxed structure of ScTa2Ru. Source: Alexandria via LeMat-Bulk, functional GGA-PBE.

Properties
- D(E_F) (states/eV per atom) = 0.89
- total moment (μB/cell) = 0.00
- SG = No. 10
- VASP energy (eV per cell) = -39.7
- energy of formation from the pure elements (eV/atom) = -0.0974

```
data_ScTa2Ru
_cell_length_a 4.5574
_cell_length_b 2.9696
_cell_length_c 5.3721
_cell_angle_alpha 76.13
_cell_angle_beta 90.00
_cell_angle_gamma 90.00
_symmetry_space_group_name_H-M 'P 1'
_symmetry_Int_Tables_number 1
loop_
_symmetry_equiv_pos_as_xyz
'x,y,z'
loop_
_atom_site_label
_atom_site_fract_x
_atom_site_fract_y
_atom_site_fract_z
Ru1 0.5000 0.2500 0.2500
Sc1 0.5000 0.7500 0.7500
Ta1 0.0000 0.0366 0.0119
Ta2 0.0000 0.4634 0.4881
```

A relaxed structure of ScTaRu2. Source: Alexandria via LeMat-Bulk, functional GGA-PBE.

Properties
- D(E_F) (states/eV per atom) = 0.58
- total moment (μB/cell) = 0.00
- SG = No. 25
- VASP energy (eV per cell) = -37.5
- energy of formation from the pure elements (eV/atom) = -0.1857

```
data_ScTaRu2
_cell_length_a 3.0507
_cell_length_b 4.1966
_cell_length_c 5.2829
_cell_angle_alpha 90.00
_cell_angle_beta 90.00
_cell_angle_gamma 90.00
_symmetry_space_group_name_H-M 'P 1'
_symmetry_Int_Tables_number 1
loop_
_symmetry_equiv_pos_as_xyz
'x,y,z'
loop_
_atom_site_label
_atom_site_fract_x
_atom_site_fract_y
_atom_site_fract_z
Ru1 0.0000 0.0000 0.9511
Ru2 0.5000 0.5000 0.3067
Sc1 0.0000 0.0000 0.4519
Ta1 0.5000 0.5000 0.7902
```

A relaxed structure of ScTa2Ru. Source: Alexandria via LeMat-Bulk, functional GGA-PBE.

Properties
- D(E_F) (states/eV per atom) = 0.89
- total moment (μB/cell) = 0.00
- SG = No. 44
- VASP energy (eV per cell) = -39.9
- energy of formation from the pure elements (eV/atom) = -0.1418

```
data_ScTa2Ru
_cell_length_a 5.4682
_cell_length_b 5.4682
_cell_length_c 5.4682
_cell_angle_alpha 146.24
_cell_angle_beta 128.60
_cell_angle_gamma 62.92
_symmetry_space_group_name_H-M 'P 1'
_symmetry_Int_Tables_number 1
loop_
_symmetry_equiv_pos_as_xyz
'x,y,z'
loop_
_atom_site_label
_atom_site_fract_x
_atom_site_fract_y
_atom_site_fract_z
Ru1 0.5075 0.5075 0.0000
Sc1 0.2640 0.7640 0.5000
Ta1 0.9926 0.9926 0.0000
Ta2 0.7359 0.2359 0.5000
```

A relaxed structure of Sc2TaRu. Source: Alexandria via LeMat-Bulk, functional GGA-PBE.

Properties
- D(E_F) (states/eV per atom) = 0.63
- total moment (μB/cell) = 0.00
- SG = No. 99
- VASP energy (eV per cell) = -34.8
- energy of formation from the pure elements (eV/atom) = -0.2554

```
data_Sc2TaRu
_cell_length_a 3.1826
_cell_length_b 3.1826
_cell_length_c 7.7129
_cell_angle_alpha 90.00
_cell_angle_beta 90.00
_cell_angle_gamma 90.00
_symmetry_space_group_name_H-M 'P 1'
_symmetry_Int_Tables_number 1
loop_
_symmetry_equiv_pos_as_xyz
'x,y,z'
loop_
_atom_site_label
_atom_site_fract_x
_atom_site_fract_y
_atom_site_fract_z
Ru1 0.5000 0.5000 0.7364
Sc1 0.0000 0.0000 0.9456
Sc2 0.5000 0.5000 0.2819
Ta1 0.0000 0.0000 0.5361
```

A relaxed structure of Sc2TaRu. Source: Alexandria via LeMat-Bulk, functional GGA-PBE.

Properties
- D(E_F) (states/eV per atom) = 1.42
- total moment (μB/cell) = 0.00
- SG = No. 12
- VASP energy (eV per cell) = -33.7
- energy of formation from the pure elements (eV/atom) = 0.0247

```
data_Sc2TaRu
_cell_length_a 5.4998
_cell_length_b 5.3560
_cell_length_c 2.9900
_cell_angle_alpha 80.11
_cell_angle_beta 77.93
_cell_angle_gamma 117.07
_symmetry_space_group_name_H-M 'P 1'
_symmetry_Int_Tables_number 1
loop_
_symmetry_equiv_pos_as_xyz
'x,y,z'
loop_
_atom_site_label
_atom_site_fract_x
_atom_site_fract_y
_atom_site_fract_z
Ru1 0.5000 0.5000 0.0000
Sc1 0.0000 0.0000 0.0000
Sc2 0.5000 0.0000 0.5000
Ta1 0.0000 0.5000 0.5000
```

A relaxed structure of Sc2TaRu. Source: Alexandria via LeMat-Bulk, functional GGA-PBE.

Properties
- D(E_F) (states/eV per atom) = 1.20
- total moment (μB/cell) = 0.26
- SG = No. 166
- VASP energy (eV per cell) = -33.8
- energy of formation from the pure elements (eV/atom) = -0.0010

```
data_Sc2TaRu
_cell_length_a 9.2151
_cell_length_b 9.2151
_cell_length_c 9.2151
_cell_angle_alpha 19.35
_cell_angle_beta 19.35
_cell_angle_gamma 19.35
_symmetry_space_group_name_H-M 'P 1'
_symmetry_Int_Tables_number 1
loop_
_symmetry_equiv_pos_as_xyz
'x,y,z'
loop_
_atom_site_label
_atom_site_fract_x
_atom_site_fract_y
_atom_site_fract_z
Ru1 0.7500 0.7500 0.7500
Sc1 0.0095 0.0095 0.0095
Sc2 0.4905 0.4905 0.4905
Ta1 0.2500 0.2500 0.2500
```